DFT (GGA-PBE) results for crystalline Sc6PO12 at its relaxed geometry.

Output
E: -0.313 hartree per atom
M_tot: 0.05 μB/atom
raw formation energy: -58.8 eV/f.u.
SG: No. 148

abc: 6.0054 6.0054 6.0054
angles: 98.83 98.83 98.83
Closest atoms and distances in Å follow each position.
Sites, in units of the cell vectors:
Sc  0.1094  0.8129  0.6420  5 O 2.02-2.23
Sc  0.1871  0.3580  0.8906  5 O 2.02-2.23
Sc  0.3580  0.8906  0.1871  5 O 2.02-2.23
Sc  0.6420  0.1094  0.8129  5 O 2.02-2.23
Sc  0.8129  0.6420  0.1094  5 O 2.02-2.23
Sc  0.8906  0.1871  0.3580  5 O 2.02-2.23
P  0.5000  0.5000  0.5000  6 O 1.74
O  0.0716  0.9059  0.3235  4 Sc 2.02-2.15
O  0.0941  0.6765  0.9284  4 Sc 2.02-2.15
O  0.2159  0.4242  0.5290  1 P 1.74
O  0.3235  0.0716  0.9059  4 Sc 2.02-2.15
O  0.4242  0.5290  0.2159  1 P 1.74
O  0.4710  0.7841  0.5758  1 P 1.74
O  0.5290  0.2159  0.4242  1 P 1.74
O  0.5758  0.4710  0.7841  1 P 1.74
O  0.6765  0.9284  0.0941  4 Sc 2.02-2.15
O  0.7841  0.5758  0.4710  1 P 1.74
O  0.9059  0.3235  0.0716  4 Sc 2.02-2.15
O  0.9284  0.0941  0.6765  4 Sc 2.02-2.15

=====

DFT (GGA-PBE) results for crystalline Sc2P3O12 at its relaxed geometry.

Output
E: -0.277 hartree per atom
M_tot: 0.18 μB/atom
raw formation energy: -39.8 eV/f.u.
SG: No. 60

abc: 12.7638 9.1030 9.1218
angles: 90.00 90.00 90.00
Closest atoms and distances in Å follow each position.
Sites, in units of the cell vectors:
Sc  0.1176  0.2504  0.0303  6 O 2.07-2.11
Sc  0.1176  0.7496  0.5303  6 O 2.07-2.11
Sc  0.3824  0.2496  0.5303  6 O 2.07-2.11
Sc  0.3824  0.7504  0.0303  6 O 2.07-2.11
Sc  0.6176  0.2496  0.9697  6 O 2.07-2.11
Sc  0.6176  0.7504  0.4697  6 O 2.07-2.11
Sc  0.8824  0.2504  0.4697  6 O 2.07-2.11
Sc  0.8824  0.7496  0.9697  6 O 2.07-2.11
P  0.0000  0.0287  0.7500  4 O 1.53-1.54
P  0.0000  0.9713  0.2500  4 O 1.53-1.54
P  0.1425  0.3875  0.3927  4 O 1.53-1.54
P  0.1425  0.6125  0.8927  4 O 1.53-1.54
P  0.3575  0.1125  0.8927  4 O 1.53-1.54
P  0.3575  0.8875  0.3927  4 O 1.53-1.54
P  0.5000  0.4713  0.2500  4 O 1.53-1.54
P  0.5000  0.5287  0.7500  4 O 1.53-1.54
P  0.6425  0.1125  0.6073  4 O 1.53-1.54
P  0.6425  0.8875  0.1073  4 O 1.53-1.54
P  0.8575  0.3875  0.1073  4 O 1.53-1.54
P  0.8575  0.6125  0.6073  4 O 1.53-1.54
O  0.0376  0.3225  0.4458  1 P 1.54
O  0.0376  0.6775  0.9458  1 P 1.54
O  0.0650  0.1263  0.8525  1 P 1.53
O  0.0650  0.8737  0.3525  1 P 1.53
O  0.0740  0.0678  0.1582  1 P 1.54
O  0.0740  0.9322  0.6582  1 P 1.54
O  0.1399  0.4451  0.9149  1 P 1.54
O  0.1399  0.5549  0.4149  1 P 1.54
O  0.1547  0.3522  0.2286  1 P 1.54
O  0.1547  0.6478  0.7286  1 P 1.54
O  0.2325  0.3200  0.4815  1 P 1.53
O  0.2325  0.6800  0.9815  1 P 1.53
O  0.2675  0.1800  0.9815  1 P 1.53
O  0.2675  0.8200  0.4815  1 P 1.53
O  0.3453  0.1478  0.7286  1 P 1.54
O  0.3453  0.8522  0.2286  1 P 1.54
O  0.3601  0.0549  0.4149  1 P 1.54
O  0.3601  0.9451  0.9149  1 P 1.54
O  0.4260  0.4322  0.6582  1 P 1.54
O  0.4260  0.5678  0.1582  1 P 1.54
O  0.4350  0.3737  0.3525  1 P 1.53
O  0.4350  0.6263  0.8525  1 P 1.53
O  0.4624  0.1775  0.9458  1 P 1.54
O  0.4624  0.8225  0.4458  1 P 1.54
O  0.5376  0.1775  0.5542  1 P 1.54
O  0.5376  0.8225  0.0542  1 P 1.54
O  0.5650  0.3737  0.1475  1 P 1.53
O  0.5650  0.6263  0.6475  1 P 1.53
O  0.5740  0.4322  0.8418  1 P 1.54
O  0.5740  0.5678  0.3418  1 P 1.54
O  0.6399  0.0549  0.0851  1 P 1.54
O  0.6399  0.9451  0.5851  1 P 1.54
O  0.6547  0.1478  0.7714  1 P 1.54
O  0.6547  0.8522  0.2714  1 P 1.54
O  0.7325  0.1800  0.5185  1 P 1.53
O  0.7325  0.8200  0.0185  1 P 1.53
O  0.7675  0.3200  0.0185  1 P 1.53
O  0.7675  0.6800  0.5185  1 P 1.53
O  0.8453  0.3522  0.2714  1 P 1.54
O  0.8453  0.6478  0.7714  1 P 1.54
O  0.8601  0.4451  0.5851  1 P 1.54
O  0.8601  0.5549  0.0851  1 P 1.54
O  0.9260  0.0678  0.3418  1 P 1.54
O  0.9260  0.9322  0.8418  1 P 1.54
O  0.9350  0.1263  0.6475  1 P 1.53
O  0.9350  0.8737  0.1475  1 P 1.53
O  0.9624  0.3225  0.0542  1 P 1.54
O  0.9624  0.6775  0.5542  1 P 1.54

=====

DFT (GGA-PBE) results for crystalline Sc2PO at its relaxed geometry.

Output
E: -0.260 hartree per atom
M_tot: 0.06 μB/atom
raw formation energy: -5.2 eV/f.u.
energy relative to the lowest polymorph listed for this composition: 771 meV/atom
SG: No. 166

abc: 3.1908 3.1908 22.6168
angles: 90.00 90.00 120.00
Closest atoms and distances in Å follow each position.
Sites, in units of the cell vectors:
Sc  0.0000  0.0000  0.1111  3 O 2.23
Sc  0.0000  0.0000  0.8889  3 O 2.23
Sc  0.3333  0.6667  0.5556  3 O 2.23
Sc  0.3333  0.6667  0.7777  3 O 2.23
Sc  0.6667  0.3333  0.2223  3 O 2.23
Sc  0.6667  0.3333  0.4444  3 O 2.23
P  0.0000  0.0000  0.0000  2 Sc 2.51
P  0.3333  0.6667  0.6667  2 Sc 2.51
P  0.6667  0.3333  0.3333  2 Sc 2.51
O  0.0000  0.0000  0.5000  6 Sc 2.23
O  0.3333  0.6667  0.1667  6 Sc 2.23
O  0.6667  0.3333  0.8333  6 Sc 2.23

=====

DFT (GGA-PBE) results for crystalline Sc5P4O at its relaxed geometry.

Output
E: -0.278 hartree per atom
M_tot: 0.00 μB/atom
raw formation energy: -17.3 eV/f.u.
SG: No. 79

abc: 6.3428 6.3428 6.3428
angles: 99.98 99.98 130.80
Closest atoms and distances in Å follow each position.
Sites, in units of the cell vectors:
Sc  0.0000  0.0000  0.0000  1 O 2.06
Sc  0.2776  0.6633  0.8111  1 O 2.49, 5 P 2.60-2.64
Sc  0.4666  0.2776  0.6143  1 O 2.49, 5 P 2.60-2.64
Sc  0.6633  0.8522  0.3857  1 O 2.49, 5 P 2.60-2.64
Sc  0.8522  0.4666  0.1889  1 O 2.49, 5 P 2.60-2.64
P  0.1599  0.3647  0.3952  6 Sc 2.59-2.64
P  0.3647  0.9695  0.2048  6 Sc 2.59-2.64
P  0.7646  0.1599  0.7952  6 Sc 2.59-2.64
P  0.9695  0.7646  0.6048  6 Sc 2.59-2.64
O  0.6099  0.6099  0.0000  1 Sc 2.06

=====

DFT (GGA-PBE) results for crystalline ScP3O9 at its relaxed geometry.

Output
E: -0.281 hartree per atom
M_tot: 0.00 μB/atom
raw formation energy: -32.2 eV/f.u.
energy relative to the lowest polymorph listed for this composition: 13 meV/atom
SG: No. 9

abc: 7.6667 7.6667 9.8601
angles: 122.84 122.84 51.41
Closest atoms and distances in Å follow each position.
Sites, in units of the cell vectors:
Sc  0.2377  0.7623  0.5000  6 O 2.09-2.13
Sc  0.7623  0.2377  0.0000  6 O 2.09-2.13
P  0.1909  0.3237  0.7677  4 O 1.49-1.61
P  0.3237  0.1909  0.2677  4 O 1.49-1.61
P  0.5571  0.7341  0.3313  4 O 1.50-1.61
P  0.7341  0.5571  0.8313  4 O 1.50-1.61
P  0.7525  0.9589  0.1696  4 O 1.50-1.59
P  0.9589  0.7525  0.6696  4 O 1.50-1.59
O  0.0028  0.4726  0.8660  2 P 1.61
O  0.0848  0.8303  0.6564  1 P 1.50
O  0.1221  0.1550  0.1190  1 P 1.50
O  0.1429  0.5025  0.6998  2 P 1.59-1.60
O  0.1550  0.1221  0.6190  1 P 1.50
O  0.2717  0.4260  0.4005  1 P 1.49
O  0.3824  0.7227  0.3491  1 P 1.50
O  0.4260  0.2717  0.9005  1 P 1.49
O  0.4726  0.0028  0.3660  2 P 1.61
O  0.5025  0.1429  0.1998  2 P 1.59-1.60
O  0.5796  0.6247  0.6714  1 P 1.50
O  0.6247  0.5796  0.1714  1 P 1.50
O  0.6747  0.7898  0.9874  2 P 1.59
O  0.7227  0.3824  0.8491  1 P 1.50
O  0.7898  0.6747  0.4874  2 P 1.59
O  0.8303  0.0848  0.1564  1 P 1.50
O  0.8341  0.9173  0.8008  1 P 1.50
O  0.9173  0.8341  0.3008  1 P 1.50

=====

DFT (GGA-PBE) results for crystalline Sc2PO at its relaxed geometry.

Output
E: -0.283 hartree per atom
M_tot: 0.00 μB/atom
raw formation energy: -7.8 eV/f.u.
energy relative to the lowest polymorph listed for this composition: 133 meV/atom
SG: No. 122

abc: 5.3911 5.3911 10.3428
angles: 90.00 90.00 90.00
Closest atoms and distances in Å follow each position.
Sites, in units of the cell vectors:
Sc  0.1854  0.2500  0.1250  2 O 2.12
Sc  0.2500  0.6854  0.3750  2 O 2.12
Sc  0.2500  0.8146  0.8750  2 O 2.12
Sc  0.3146  0.2500  0.6250  2 O 2.12
Sc  0.6854  0.7500  0.6250  2 O 2.12
Sc  0.7500  0.1854  0.8750  2 O 2.12
Sc  0.7500  0.3146  0.3750  2 O 2.12
Sc  0.8146  0.7500  0.1250  2 O 2.12
P  0.0000  0.0000  0.5000  4 Sc 2.52
P  0.0000  0.5000  0.7500  4 Sc 2.52
P  0.5000  0.0000  0.2500  4 Sc 2.52
P  0.5000  0.5000  0.0000  4 Sc 2.52
O  0.0000  0.0000  0.0000  4 Sc 2.12
O  0.0000  0.5000  0.2500  4 Sc 2.12
O  0.5000  0.0000  0.7500  4 Sc 2.12
O  0.5000  0.5000  0.5000  4 Sc 2.12

=====

DFT (GGA-PBE) results for crystalline Sc2PO at its relaxed geometry.

Output
E: -0.282 hartree per atom
M_tot: 0.00 μB/atom
raw formation energy: -7.6 eV/f.u.
energy relative to the lowest polymorph listed for this composition: 174 meV/atom
SG: No. 166

abc: 3.9612 3.9612 19.2446
angles: 90.00 90.00 120.00
Closest atoms and distances in Å follow each position.
Sites, in units of the cell vectors:
Sc  0.0000  0.0000  0.0982  1 O 1.89
Sc  0.0000  0.0000  0.9018  1 O 1.89
Sc  0.3333  0.6667  0.5684  1 O 1.89
Sc  0.3333  0.6667  0.7649  1 O 1.89
Sc  0.6667  0.3333  0.2351  1 O 1.89
Sc  0.6667  0.3333  0.4316  1 O 1.89
P  0.0000  0.0000  0.5000  6 Sc 2.64
P  0.3333  0.6667  0.1667  6 Sc 2.64
P  0.6667  0.3333  0.8333  6 Sc 2.64
O  0.0000  0.0000  0.0000  2 Sc 1.89
O  0.3333  0.6667  0.6667  2 Sc 1.89
O  0.6667  0.3333  0.3333  2 Sc 1.89

=====

DFT (GGA-PBE) results for crystalline Sc2PO at its relaxed geometry.

Output
E: -0.280 hartree per atom
M_tot: 0.00 μB/atom
raw formation energy: -7.5 eV/f.u.
energy relative to the lowest polymorph listed for this composition: 204 meV/atom
SG: No. 160

abc: 3.3957 3.3957 18.3826
angles: 90.00 90.00 120.00
Closest atoms and distances in Å follow each position.
Sites, in units of the cell vectors:
Sc  0.0000  0.0000  0.0000  3 O 2.51, 3 P 2.53
Sc  0.0000  0.0000  0.1590  3 O 2.38, 3 P 2.53
Sc  0.3333  0.6667  0.6667  3 O 2.51, 3 P 2.53
Sc  0.3333  0.6667  0.8257  3 O 2.38, 3 P 2.53
Sc  0.6667  0.3333  0.3333  3 O 2.51, 3 P 2.53
Sc  0.6667  0.3333  0.4923  3 O 2.38, 3 P 2.53
P  0.0000  0.0000  0.5795  6 Sc 2.53
P  0.3333  0.6667  0.2461  6 Sc 2.53
P  0.6667  0.3333  0.9128  6 Sc 2.53
O  0.0000  0.0000  0.7518  6 Sc 2.38-2.51
O  0.3333  0.6667  0.4185  6 Sc 2.38-2.51
O  0.6667  0.3333  0.0851  6 Sc 2.38-2.51

=====

Question: Among the records above, which one has the highest E?
Answer: number 3